Entry from Alexandria via LeMat-Bulk: K2HfAlAs after structural relaxation (PBE).

Cell: 6.836 6.836 5.196 Å, 90.00 90.00 90.00°
Space group P4/mmm (No. 123)
Symmetry-distinct sites (fractional):
K (0.000, 0.500, 0.000) [2 per cell]
Hf (0.000, 0.000, 0.000) [1 per cell]
Al (0.000, 0.000, 0.500) [1 per cell]
As (0.500, 0.500, 0.500) [1 per cell]

Summary:
E_form   1.35 eV/atom
Raw total energy   -2.76 eV/atom